Na5Al2Se6: relaxed, PBE.

Cell and atoms, written as CIF:
```
data_Na5Al2Se6
_symmetry_space_group_name_H-M 'C 1 2/c 1'
_symmetry_Int_Tables_number 15
_cell_length_a 12.645
_cell_length_b 7.713
_cell_length_c 15.339
_cell_angle_alpha 90.00
_cell_angle_beta 108.11
_cell_angle_gamma 90.00
loop_
_symmetry_equiv_pos_as_xyz
'x,y,z'
'-x,-y,-z'
'-x,y,-z+1/2'
'x,-y,z+1/2'
'x+1/2,y+1/2,z'
'-x+1/2,-y+1/2,-z'
'-x+1/2,y+1/2,-z+1/2'
'x+1/2,-y+1/2,z+1/2'
loop_
_atom_site_label
_atom_site_fract_x
_atom_site_fract_y
_atom_site_fract_z
Na1 0.000 0.148 0.250
Na2 0.031 0.246 0.000
Na3 0.168 0.329 0.745
Al1 0.233 0.379 0.423
Se1 0.046 0.485 0.361
Se2 0.133 0.010 0.640
Se3 0.229 0.062 0.415
```

Properties
**Total moment**: 1.0 μB/f.u.
**Formation energy (no corrections)**: -992 meV/atom
**Volume**: 1422.0 Å³/cell
**DOS(E_F)**: 0.088 states/eV/atom
**Density**: 3.002 g cm⁻³

NaAlSe2: relaxed, PBE.

Cell and atoms, written as CIF:
```
data_NaAlSe2
_symmetry_space_group_name_H-M 'P 3 m 1'
_symmetry_Int_Tables_number 156
_cell_length_a 4.0677
_cell_length_b 4.0677
_cell_length_c 7.2830
_cell_angle_alpha 90.00
_cell_angle_beta 90.00
_cell_angle_gamma 120.00
loop_
_symmetry_equiv_pos_as_xyz
'x,y,z'
'-y,x-y,z'
'-x+y,-x,z'
'-y,-x,z'
'-x+y,y,z'
'x,x-y,z'
loop_
_atom_site_label
_atom_site_fract_x
_atom_site_fract_y
_atom_site_fract_z
Na1 0.0000 0.0000 0.0000
Al1 0.3333 0.6667 0.5003
Se1 0.3333 0.6667 0.8068
Se2 0.6667 0.3333 0.3483
```

Properties
**Total moment**: 0.0 μB/f.u.
**Formation energy (no corrections)**: -821 meV/atom
**Volume**: 104.4 Å³/cell
**DOS(E_F)**: 0.057 states/eV/atom
**Density**: 3.308 g cm⁻³

NaAlSe2: relaxed, PBE.

Cell and atoms, written as CIF:
```
data_NaAlSe2
_symmetry_space_group_name_H-M 'I 4/m c m'
_symmetry_Int_Tables_number 140
_symmetry_space_group_name_Hall '-I 4 2c'
_cell_length_a 7.707
_cell_length_b 7.707
_cell_length_c 6.381
_cell_angle_alpha 90.00
_cell_angle_beta 90.00
_cell_angle_gamma 90.00
loop_
_atom_site_label
_atom_site_fract_x
_atom_site_fract_y
_atom_site_fract_z
Na1 0.000 0.000 0.250
Al1 0.000 0.500 0.250
Se1 0.169 0.331 0.000
```

Properties
**Total moment**: 0.0 μB/f.u.
**Formation energy (no corrections)**: -1022 meV/atom
**Volume**: 379.0 Å³/cell
**DOS(E_F)**: 0.000 states/eV/atom
**Density**: 3.643 g cm⁻³

NaAlSe2: relaxed, PBE.

Cell and atoms, written as CIF:
```
data_NaAlSe2
_symmetry_space_group_name_H-M 'P 3 m 1'
_symmetry_Int_Tables_number 156
_cell_length_a 3.8059
_cell_length_b 3.8059
_cell_length_c 7.4949
_cell_angle_alpha 90.00
_cell_angle_beta 90.00
_cell_angle_gamma 120.00
loop_
_symmetry_equiv_pos_as_xyz
'x,y,z'
'-y,x-y,z'
'-x+y,-x,z'
'-y,-x,z'
'-x+y,y,z'
'x,x-y,z'
loop_
_atom_site_label
_atom_site_fract_x
_atom_site_fract_y
_atom_site_fract_z
Na1 0.0000 0.0000 0.0000
Al1 0.6667 0.3333 0.5525
Se1 0.0000 0.0000 0.3758
Se2 0.3333 0.6667 0.7502
```

Properties
**Total moment**: 0.0 μB/f.u.
**Formation energy (no corrections)**: -929 meV/atom
**Volume**: 94.0 Å³/cell
**DOS(E_F)**: 0.000 states/eV/atom
**Density**: 3.672 g cm⁻³

Na2AlSe: relaxed, PBE.

Cell and atoms, written as CIF:
```
data_Na2AlSe
_symmetry_space_group_name_H-M 'I -4 2 d'
_symmetry_Int_Tables_number 122
_symmetry_space_group_name_Hall 'I -4 2bw'
_cell_length_a 4.558
_cell_length_b 4.558
_cell_length_c 20.047
_cell_angle_alpha 90.00
_cell_angle_beta 90.00
_cell_angle_gamma 90.00
loop_
_atom_site_label
_atom_site_fract_x
_atom_site_fract_y
_atom_site_fract_z
Na1 0.228 0.250 0.125
Al1 0.000 0.000 0.500
Se1 0.000 0.000 0.000
```

Properties
**Total moment**: 0.0 μB/f.u.
**Formation energy (no corrections)**: -121 meV/atom
**Volume**: 416.5 Å³/cell
**Offset from the most stable computed form**: 76 meV per atom
**DOS(E_F)**: 0.744 states/eV/atom
**Density**: 2.423 g cm⁻³

NaAlSe2: relaxed, PBE.

Cell and atoms, written as CIF:
```
data_NaAlSe2
_symmetry_space_group_name_H-M 'P 1 21 1'
_symmetry_Int_Tables_number 4
_cell_length_a 3.960
_cell_length_b 6.842
_cell_length_c 8.157
_cell_angle_alpha 90.00
_cell_angle_beta 92.23
_cell_angle_gamma 90.00
loop_
_symmetry_equiv_pos_as_xyz
'x,y,z'
'-x,y+1/2,-z'
loop_
_atom_site_label
_atom_site_fract_x
_atom_site_fract_y
_atom_site_fract_z
Na1 0.027 0.000 0.340
Al1 0.486 0.008 0.856
Se1 0.026 0.424 0.308
Se2 0.490 0.359 0.880
```

Properties
**Total moment**: 0.0 μB/f.u.
**Formation energy (no corrections)**: -1013 meV/atom
**Volume**: 220.8 Å³/cell
**DOS(E_F)**: 0.000 states/eV/atom
**Density**: 3.127 g cm⁻³

Na3AlSe3: relaxed, PBE.

Cell and atoms, written as CIF:
```
data_Na3AlSe3
_symmetry_space_group_name_H-M 'P 1 21/c 1'
_symmetry_Int_Tables_number 14
_cell_length_a 7.451
_cell_length_b 13.241
_cell_length_c 9.235
_cell_angle_alpha 90.00
_cell_angle_beta 126.98
_cell_angle_gamma 90.00
loop_
_symmetry_equiv_pos_as_xyz
'x,y,z'
'-x,-y,-z'
'-x,y+1/2,-z+1/2'
'x,-y+1/2,z+1/2'
loop_
_atom_site_label
_atom_site_fract_x
_atom_site_fract_y
_atom_site_fract_z
Na1 0.165 0.116 0.498
Na2 0.216 0.108 0.917
Na3 0.288 0.697 0.523
Al1 0.475 0.077 0.354
Se1 0.217 0.214 0.226
Se2 0.289 0.584 0.813
Se3 0.308 0.569 0.254
```

Properties
**Total moment**: 0.0 μB/f.u.
**Formation energy (no corrections)**: -1081 meV/atom
**Volume**: 727.8 Å³/cell
**Offset from the most stable computed form**: 10 meV per atom
**DOS(E_F)**: 0.000 states/eV/atom
**Density**: 3.037 g cm⁻³

Na5Al2Se5: relaxed, PBE.

Cell and atoms, written as CIF:
```
data_Na5Al2Se5
_symmetry_space_group_name_H-M 'C 1 2/m 1'
_symmetry_Int_Tables_number 12
_cell_length_a 13.500
_cell_length_b 4.137
_cell_length_c 11.383
_cell_angle_alpha 90.00
_cell_angle_beta 107.84
_cell_angle_gamma 90.00
loop_
_symmetry_equiv_pos_as_xyz
'x,y,z'
'-x,-y,-z'
'-x,y,-z'
'x,-y,z'
'x+1/2,y+1/2,z'
'-x+1/2,-y+1/2,-z'
'-x+1/2,y+1/2,-z'
'x+1/2,-y+1/2,z'
loop_
_atom_site_label
_atom_site_fract_x
_atom_site_fract_y
_atom_site_fract_z
Na1 0.000 0.000 0.000
Na2 0.158 0.000 0.559
Na3 0.249 0.000 0.866
Al1 0.045 0.500 0.295
Se1 0.000 0.500 0.500
Se2 0.103 0.500 0.884
Se3 0.157 0.000 0.295
```

Properties
**Total moment**: 0.0 μB/f.u.
**Formation energy (no corrections)**: -924 meV/atom
**Volume**: 605.2 Å³/cell
**DOS(E_F)**: 0.262 states/eV/atom
**Density**: 3.093 g cm⁻³